No. 1
This record from the Open Quantum Materials Database describes Tm2H2IBrO2 after structural relaxation. The functional is GGA-PBE.

Properties
VASP energy   -40.52 eV/cell
Total magnetization   1.9 μB per formula unit
Space group   No. 156
Density   6.85 Mg/m³
Crystal system   trigonal

a b c (Å): 3.911 3.911 10.588
angles (deg): 90.00 90.00 120.00
Fractional positions:
Tm (0.000, 0.000, 0.000)
Tm (0.333, 0.667, 0.486)
H (0.667, 0.333, 0.335)
H (0.667, 0.333, 0.863)
I (0.000, 0.000, 0.691)
Br (0.333, 0.667, 0.188)
O (0.667, 0.333, 0.427)
O (0.667, 0.333, 0.956)

***

No. 2
This record from the Open Quantum Materials Database describes Pr2H2IBr3 after structural relaxation. The functional is GGA-PBE.

Properties
VASP energy   -34.48 eV/cell
Total magnetization   0.0 μB per formula unit
Space group   No. 156
Density   4.99 Mg/m³
Crystal system   trigonal

a b c (Å): 4.084 4.084 14.983
angles (deg): 90.00 90.00 120.00
Fractional positions:
Pr (0.000, 0.000, 0.000)
Pr (0.000, 0.000, 0.491)
H (0.333, 0.667, 0.997)
H (0.667, 0.333, 0.492)
I (0.667, 0.333, 0.853)
Br (0.333, 0.667, 0.361)
Br (0.333, 0.667, 0.621)
Br (0.667, 0.333, 0.128)

***

No. 3
This record from the Open Quantum Materials Database describes Pu2H2IBr3 after structural relaxation. The functional is GGA-PBE.

Properties
VASP energy   -50.90 eV/cell
Total magnetization   10.0 μB per formula unit
Space group   No. 156
Density   7.12 Mg/m³
Crystal system   trigonal

a b c (Å): 3.941 3.941 14.857
angles (deg): 90.00 90.00 120.00
Fractional positions:
Pu (0.000, 0.000, 0.000)
Pu (0.000, 0.000, 0.491)
H (0.333, 0.667, 0.997)
H (0.667, 0.333, 0.491)
I (0.667, 0.333, 0.854)
Br (0.333, 0.667, 0.362)
Br (0.333, 0.667, 0.621)
Br (0.667, 0.333, 0.129)

***

No. 4
This record from the Open Quantum Materials Database describes KZnH4Br3O2 after structural relaxation. The functional is GGA-PBE.

Properties
VASP energy   -172.70 eV/cell
Space group   No. 14
Density   3.12 Mg/m³
Crystal system   monoclinic

a b c (Å): 6.661 12.334 11.115
angles (deg): 90.00 117.48 90.00
Fractional positions:
K (0.220, 0.166, 0.492)
K (0.220, 0.334, 0.992)
K (0.780, 0.666, 0.008)
K (0.780, 0.834, 0.508)
Zn (0.498, 0.074, 0.238)
Zn (0.498, 0.426, 0.738)
Zn (0.502, 0.574, 0.262)
Zn (0.502, 0.926, 0.762)
H (0.000, 0.137, 0.784)
H (0.000, 0.363, 0.284)
H (0.000, 0.637, 0.716)
H (0.000, 0.863, 0.216)
H (0.155, 0.636, 0.645)
H (0.155, 0.864, 0.145)
H (0.280, 0.739, 0.299)
H (0.280, 0.761, 0.799)
H (0.385, 0.663, 0.433)
H (0.385, 0.837, 0.933)
H (0.615, 0.163, 0.067)
H (0.615, 0.337, 0.567)
H (0.720, 0.239, 0.201)
H (0.720, 0.261, 0.701)
H (0.845, 0.136, 0.855)
H (0.845, 0.364, 0.355)
Br (0.103, 0.103, 0.164)
Br (0.103, 0.397, 0.664)
Br (0.274, 0.602, 0.023)
Br (0.274, 0.898, 0.523)
Br (0.424, 0.101, 0.828)
Br (0.424, 0.399, 0.328)
Br (0.576, 0.601, 0.672)
Br (0.576, 0.899, 0.172)
Br (0.726, 0.102, 0.477)
Br (0.726, 0.398, 0.977)
Br (0.897, 0.603, 0.336)
Br (0.897, 0.897, 0.836)
O (0.085, 0.685, 0.685)
O (0.085, 0.815, 0.185)
O (0.412, 0.691, 0.360)
O (0.412, 0.809, 0.860)
O (0.588, 0.191, 0.140)
O (0.588, 0.309, 0.640)
O (0.915, 0.185, 0.815)
O (0.915, 0.315, 0.315)

***

No. 5
This record from the Open Quantum Materials Database describes ZnH8BrN3 after structural relaxation. The functional is GGA-PBE.

Properties
VASP energy   -244.40 eV/cell
Space group   No. 14
Density   2.43 Mg/m³
Crystal system   monoclinic

a b c (Å): 7.342 5.884 13.992
angles (deg): 90.00 117.75 90.00
Fractional positions:
Zn (0.120, 0.145, 0.278)
Zn (0.120, 0.355, 0.778)
Zn (0.880, 0.645, 0.222)
Zn (0.880, 0.855, 0.722)
H (0.219, 0.739, 0.738)
H (0.219, 0.761, 0.238)
H (0.227, 0.108, 0.958)
H (0.227, 0.392, 0.458)
H (0.241, 0.743, 0.861)
H (0.241, 0.757, 0.361)
H (0.256, 0.106, 0.661)
H (0.256, 0.394, 0.161)
H (0.274, 0.116, 0.484)
H (0.274, 0.384, 0.984)
H (0.284, 0.115, 0.151)
H (0.284, 0.385, 0.651)
H (0.432, 0.226, 0.956)
H (0.432, 0.274, 0.456)
H (0.445, 0.246, 0.762)
H (0.445, 0.254, 0.262)
H (0.555, 0.746, 0.738)
H (0.555, 0.754, 0.238)
H (0.568, 0.726, 0.544)
H (0.568, 0.774, 0.044)
H (0.716, 0.615, 0.349)
H (0.716, 0.885, 0.849)
H (0.726, 0.616, 0.016)
H (0.726, 0.884, 0.516)
H (0.744, 0.606, 0.839)
H (0.744, 0.894, 0.339)
H (0.759, 0.243, 0.639)
H (0.759, 0.257, 0.139)
H (0.773, 0.608, 0.542)
H (0.773, 0.892, 0.042)
H (0.781, 0.239, 0.762)
H (0.781, 0.261, 0.262)
Br (0.242, 0.749, 0.058)
Br (0.242, 0.751, 0.558)
Br (0.758, 0.249, 0.442)
Br (0.758, 0.251, 0.942)
N (0.147, 0.695, 0.783)
N (0.147, 0.805, 0.283)
N (0.280, 0.248, 0.437)
N (0.280, 0.252, 0.937)
N (0.294, 0.244, 0.203)
N (0.294, 0.256, 0.703)
N (0.706, 0.744, 0.297)
N (0.706, 0.756, 0.797)
N (0.720, 0.748, 0.063)
N (0.720, 0.752, 0.563)
N (0.853, 0.195, 0.717)
N (0.853, 0.305, 0.217)

***

No. 6
This record from the Open Quantum Materials Database describes NdNpH2Br4 after structural relaxation. The functional is GGA-PBE.

Properties
VASP energy   -41.29 eV/cell
Total magnetization   4.0 μB per formula unit
Space group   No. 187
Density   5.84 Mg/m³
Crystal system   hexagonal

a b c (Å): 3.948 3.948 14.814
angles (deg): 90.00 90.00 120.00
Fractional positions:
Nd (0.000, 0.000, 0.000)
Np (0.000, 0.000, 0.500)
H (0.333, 0.667, 0.500)
H (0.667, 0.333, 0.000)
Br (0.333, 0.667, 0.133)
Br (0.333, 0.667, 0.867)
Br (0.667, 0.333, 0.369)
Br (0.667, 0.333, 0.631)

***

No. 7
This record from the Open Quantum Materials Database describes NdH2BrO2 after structural relaxation. The functional is GGA-PBE.

Properties
VASP energy   -69.84 eV/cell
Total magnetization   0.0 μB per formula unit
Space group   No. 11
Density   5.50 Mg/m³
Crystal system   monoclinic

a b c (Å): 6.207 3.909 6.954
angles (deg): 90.00 112.39 90.00
Fractional positions:
Nd (0.192, 0.250, 0.374)
Nd (0.808, 0.750, 0.626)
H (0.196, 0.250, 0.802)
H (0.383, 0.750, 0.717)
H (0.617, 0.250, 0.283)
H (0.804, 0.750, 0.198)
Br (0.266, 0.750, 0.054)
Br (0.734, 0.250, 0.946)
O (0.072, 0.250, 0.663)
O (0.397, 0.750, 0.582)
O (0.603, 0.250, 0.418)
O (0.928, 0.750, 0.337)

***

No. 8
This record from the Open Quantum Materials Database describes NdHBrO after structural relaxation. The functional is GGA-PBE.

Properties
VASP energy   -84.93 eV/cell
Total magnetization   1.0 μB per formula unit
Space group   No. 62
Density   5.70 Mg/m³
Crystal system   orthorhombic

a b c (Å): 7.090 4.168 9.511
angles (deg): 90.00 90.00 90.00
Fractional positions:
Nd (0.197, 0.250, 0.091)
Nd (0.303, 0.750, 0.591)
Nd (0.697, 0.250, 0.409)
Nd (0.803, 0.750, 0.909)
H (0.197, 0.750, 0.875)
H (0.303, 0.250, 0.375)
H (0.697, 0.750, 0.625)
H (0.803, 0.250, 0.125)
Br (0.031, 0.750, 0.329)
Br (0.469, 0.250, 0.829)
Br (0.531, 0.750, 0.171)
Br (0.969, 0.250, 0.671)
O (0.139, 0.750, 0.973)
O (0.361, 0.250, 0.473)
O (0.639, 0.750, 0.527)
O (0.861, 0.250, 0.027)

***

No. 9
This record from the Open Quantum Materials Database describes NdH5BrO3 after structural relaxation. The functional is GGA-PBE.

Properties
VASP energy   -100.19 eV/cell
Total magnetization   0.8 μB per formula unit
Space group   No. 129
Density   4.40 Mg/m³
Crystal system   tetragonal

a b c (Å): 4.296 4.296 11.334
angles (deg): 90.00 90.00 90.00
Fractional positions:
Nd (0.250, 0.250, 0.181)
Nd (0.750, 0.750, 0.819)
H (0.062, 0.750, 0.371)
H (0.250, 0.250, 0.478)
H (0.250, 0.562, 0.629)
H (0.250, 0.938, 0.629)
H (0.438, 0.750, 0.371)
H (0.562, 0.250, 0.629)
H (0.750, 0.062, 0.371)
H (0.750, 0.438, 0.371)
H (0.750, 0.750, 0.522)
H (0.938, 0.250, 0.629)
Br (0.250, 0.250, 0.907)
Br (0.750, 0.750, 0.093)
O (0.250, 0.250, 0.564)
O (0.250, 0.750, 0.315)
O (0.250, 0.750, 0.685)
O (0.750, 0.250, 0.315)
O (0.750, 0.250, 0.685)
O (0.750, 0.750, 0.436)

***

No. 10
This record from the Open Quantum Materials Database describes PrNdH2Br4 after structural relaxation. The functional is GGA-PBE.

Properties
VASP energy   -35.22 eV/cell
Total magnetization   0.0 μB per formula unit
Space group   No. 187
Density   4.85 Mg/m³
Crystal system   hexagonal

a b c (Å): 4.019 4.019 14.860
angles (deg): 90.00 90.00 120.00
Fractional positions:
Pr (0.000, 0.000, 0.000)
Nd (0.000, 0.000, 0.500)
H (0.333, 0.667, 0.000)
H (0.667, 0.333, 0.500)
Br (0.333, 0.667, 0.369)
Br (0.333, 0.667, 0.631)
Br (0.667, 0.333, 0.132)
Br (0.667, 0.333, 0.868)